First-principles (GGA-PBE) data for a relaxed structure of SrTcN3, as listed in the Alexandria database.

- Raw formation energy: -0.260 eV per atom
- Space group: No. 1

Lattice parameters (Å, degrees): 3.8582 6.5214 7.1169 66.50 83.29 100.72
Closest atoms and distances in Å follow each position.
Fractional positions:
1 N 0.1320 0.4586 0.8610  3 Tc 2.02-2.11
2 Sr 0.1664 0.2807 0.5775  5 N 2.60-2.87
3 N 0.9038 0.7929 0.5620  1 N 1.22
4 Tc 0.1682 0.6477 0.0426  1 N 1.73
5 N 0.1440 0.9572 0.4335  1 N 1.22
6 Sr 0.7329 0.0606 0.1717  6 N 2.55-2.74
7 N 0.7729 0.4082 0.2989  1 N 1.36
8 N 0.2376 0.9414 0.9698  1 Tc 1.73
9 Tc 0.6749 0.5622 0.8166  3 N 1.81-2.02
10 N 0.6016 0.4902 0.1390  1 N 1.36